(1)
Crystalline TlTcRh2 at its relaxed geometry. Source: Alexandria, functional GGA-PBE.

volume = 16.21 Å³/atom
energy of formation from the pure elements = 23.8 kJ per mole of atoms
total moment = 0.003 μB/cell

Cell and atoms, written as CIF:
```
data_TlTcRh2
_cell_length_a 9.262
_cell_length_b 2.881
_cell_length_c 4.940
_cell_angle_alpha 90.00
_cell_angle_beta 100.39
_cell_angle_gamma 90.00
_symmetry_space_group_name_H-M 'C 1 m 1'
_symmetry_Int_Tables_number 8
_symmetry_space_group_name_Hall 'C -2y'
loop_
_atom_site_label
_atom_site_fract_x
_atom_site_fract_y
_atom_site_fract_z
Tl1 0.000 0.000 0.000
Tc1 0.259 0.500 0.315
Rh1 0.245 0.000 0.764
Rh2 0.497 0.000 0.492
```


(2)
Crystalline ZnH3Ru at its relaxed geometry. Source: Alexandria, functional GGA-PBE.

volume = 8.24 Å³/atom
total moment = 0.000 μB/cell
electronic total energy = -4.06 eV/atom

Cell and atoms, written as CIF:
```
data_ZnH3Ru
_cell_length_a 3.050
_cell_length_b 3.050
_cell_length_c 8.859
_cell_angle_alpha 90.00
_cell_angle_beta 90.00
_cell_angle_gamma 90.00
_symmetry_space_group_name_H-M 'I 4 m m'
_symmetry_Int_Tables_number 107
_symmetry_space_group_name_Hall 'I 4 -2'
loop_
_atom_site_label
_atom_site_fract_x
_atom_site_fract_y
_atom_site_fract_z
Zn1 0.000 0.000 0.000
H1 0.000 0.000 0.509
H2 0.000 0.500 0.225
Ru1 0.000 0.000 0.324
```